# MgCoAsO PBE with a Hubbard U relaxed
data_MgCoAsO
_chemical_formula_sum 'Mg2 Co2 As2 O2'
_cell_length_a 3.151
_cell_length_b 6.809
_cell_length_c 6.122
_cell_angle_alpha 90.00
_cell_angle_beta 90.00
_cell_angle_gamma 90.00
_space_group_name_H-M_alt 'P 1'
_space_group_IT_number 1
_space_group_name_Hall 'P 1'
loop_
_atom_site_label
_atom_site_fract_x
_atom_site_fract_y
_atom_site_fract_z
Mg1 0.000 0.101 0.000
Mg2 0.000 0.899 0.500
Co1 0.500 0.301 0.396
Co2 0.500 0.699 0.896
As1 0.500 0.357 0.791
As2 0.500 0.643 0.291
O1 0.000 0.133 0.316
O2 0.000 0.867 0.816
# **Mass density**: 4.40 g/cm³
# **VASP energy**: -19.567 eV per formula unit
# **Magnetic moment**: 2.8 μB/f.u.